Record 1
The following is a DFT calculation (GGA-PBE) of a geometry-optimized Ba2SrSe3 structure.

Cell: 4.630 6.579 8.041 Å, 114.15 106.73 90.00°
Fractional coordinates of all 6 atoms:
Ba1 0.833 0.833 0.166
Ba2 0.167 0.167 0.834
Sr1 0.500 0.500 0.500
Se1 0.842 0.342 0.183
Se2 0.158 0.658 0.817
Se3 0.500 0.000 0.500

## Properties
* final energy: -4.707 eV per atom
* ΔE_f (raw): -12.261 eV per formula unit
* calculated volume: 212.1 Å³ per cell
* DOS at the Fermi energy: 0.0 states/eV per cell
* total moment: 0.00 μB/atom

***

Record 2
The following is a DFT calculation (GGA-PBE) of a geometry-optimized KPt2 structure.

Cell: 4.865 4.865 12.203 Å, 75.24 75.24 34.20°
Fractional coordinates of all 6 atoms:
K1 0.689 0.689 0.816
K2 0.311 0.311 0.184
Pt1 0.023 0.023 0.635
Pt2 0.977 0.977 0.365
Pt3 0.681 0.681 0.432
Pt4 0.319 0.319 0.568

## Properties
* final energy: -4.269 eV per atom
* calculated volume: 156.4 Å³ per cell
* DOS at the Fermi energy: 6.4 states/eV per cell
* ΔE_f: 36 kJ/mol of formula units
* total moment: 0.00 μB/atom

***

Record 3
The following is a DFT calculation (GGA-PBE) of a geometry-optimized Tb2HoSc3Te6 structure.

Cell: 4.253 8.558 9.539 Å, 103.09 102.88 90.00°
Fractional coordinates of all 12 atoms:
Tb1 0.832 0.665 0.664
Tb2 0.168 0.335 0.336
Ho1 0.500 0.000 0.000
Sc1 0.500 0.500 0.000
Sc2 0.832 0.167 0.663
Sc3 0.168 0.833 0.337
Te1 0.331 0.927 0.662
Te2 0.662 0.592 0.325
Te3 0.669 0.073 0.338
Te4 0.996 0.256 0.993
Te5 0.004 0.744 0.007
Te6 0.338 0.408 0.675

## Properties
* final energy: -5.500 eV per atom
* ΔE_f (raw): -14.314 eV per formula unit
* calculated volume: 329.2 Å³ per cell
* DOS at the Fermi energy: 7.5 states/eV per cell
* total moment: 0.00 μB/atom